First-principles (PBE) data for a relaxed ZrTc2PtPb crystal, as listed in Alexandria.

Calculated values
Crystal system: tetragonal
Space group: P4/mmm
Formation enthalpy at 0 K, meV/atom: 1367

a = 4.7906 Å, b = 5.0972 Å, c = 4.7906 Å
α = 90.00°, β = 90.00°, γ = 90.00°
Last column: nearest neighbours and their distance in Å.
Fractional positions:
Pb (0.0000, 0.5000, 0.0000)  2 Pt 2.55
Zr (0.5000, 0.5000, 0.5000)  4 Pb 3.39, 8 Tc 3.50
Tc (0.0000, 0.0000, 0.5000)  2 Pt 2.40
Tc (0.5000, 0.0000, 0.0000)  2 Pt 2.40
Pt (0.0000, 0.0000, 0.0000)  4 Tc 2.40, 2 Pb 2.55

First-principles (PBE) data for a relaxed Te3PtPb crystal, as listed in Alexandria.

Calculated values
Crystal system: cubic
Space group: Pm-3m
Uncorrected energy, eV/cell: -12.81

a = 5.7581 Å, b = 5.7581 Å, c = 5.7581 Å
α = 90.00°, β = 90.00°, γ = 90.00°
Last column: nearest neighbours and their distance in Å.
Fractional positions:
Pb (0.0000, 0.0000, 0.0000)  6 Te 2.88
Te (0.0000, 0.5000, 0.0000)  2 Pb 2.88
Te (0.0000, 0.0000, 0.5000)  2 Pb 2.88
Te (0.5000, 0.0000, 0.0000)  2 Pb 2.88
Pt (0.5000, 0.5000, 0.5000)  12 Te 4.07

First-principles (PBE) data for a relaxed Te2PtPb2 crystal, as listed in Alexandria.

Calculated values
Crystal system: tetragonal
Space group: P4/mbm
Uncorrected energy, eV/cell: -39.59

a = 7.5088 Å, b = 7.5088 Å, c = 5.2410 Å
α = 90.00°, β = 90.00°, γ = 90.00°
Last column: nearest neighbours and their distance in Å.
Fractional positions:
Pb (0.1589, 0.6589, 0.5000)  2 Te 3.12, 1 Pb 3.38
Pb (0.6589, 0.8411, 0.5000)  2 Te 3.12, 1 Pb 3.38
Pb (0.8411, 0.3411, 0.5000)  2 Te 3.12, 1 Pb 3.38
Pb (0.3411, 0.1589, 0.5000)  2 Te 3.12, 1 Pb 3.38
Te (0.3188, 0.8188, 0.0000)  2 Pt 2.75
Te (0.8188, 0.6812, 0.0000)  2 Pt 2.75
Te (0.6812, 0.1812, 0.0000)  2 Pt 2.75
Te (0.1812, 0.3188, 0.0000)  2 Pt 2.75
Pt (0.0000, 0.0000, 0.0000)  4 Te 2.75
Pt (0.5000, 0.5000, 0.0000)  4 Te 2.75